Entry 1:
Below is ZrTaWS2 at its PBEsol-relaxed geometry, with properties calculated at the SCAN level.

Output
DOS(E_F) = 3.76 states/eV per cell
Calculated total energy = -36.58 eV per atom

The structure in POSCAR format:
```
ZrTaWS2
1.0
4.564 0.000 0.000
0.000 4.564 0.000
0.000 0.000 5.025
Zr Ta W S
1 1 1 2
Direct
0.000 0.000 0.000
0.500 0.500 0.500
0.500 0.500 0.000
0.000 0.500 0.500
0.500 0.000 0.500
```



Entry 2:
Below is LaMgCr at its PBEsol-relaxed geometry, with properties calculated at the SCAN level.

Output
ΔE_f = 0.12 eV/atom
DOS(E_F) = 2.47 states/eV per cell
Distance to the lowest polymorph of the same formula = 0 meV per atom
Calculated total energy = -22.03 eV per atom

The structure in POSCAR format:
```
LaMgCr
1.0
5.066 0.000 0.000
-2.533 4.388 0.000
0.000 0.000 3.336
La Mg Cr
1 1 1
Direct
0.000 0.000 0.000
0.333 0.667 0.499
0.667 0.333 0.501
```



Entry 3:
Below is DyCuSi at its PBEsol-relaxed geometry, with properties calculated at the SCAN level.

Output
DOS(E_F) = 1.61 states/eV per cell
Calculated total energy = -25.01 eV per atom

The structure in POSCAR format:
```
DyCuSi
1.0
4.082 0.000 0.000
-2.041 3.535 0.000
0.000 0.000 3.694
Dy Cu Si
1 1 1
Direct
0.000 0.000 0.000
0.667 0.333 0.500
0.333 0.667 0.500
```



Entry 4:
Below is KAl2Ge2 at its PBEsol-relaxed geometry, with properties calculated at the SCAN level.

Output
ΔE_f = -0.15 eV/atom
DOS(E_F) = 1.95 states/eV per cell
Calculated total energy = -12.55 eV per atom

The structure in POSCAR format:
```
KAl2Ge2
1.0
-1.992 1.992 7.473
1.992 -1.992 7.473
1.992 1.992 -7.473
K Al Ge
1 2 2
Direct
0.000 0.000 0.000
0.250 0.750 0.500
0.750 0.250 0.500
0.363 0.363 0.000
0.637 0.637 0.000
```



Entry 5:
Below is LaFePb3 at its PBEsol-relaxed geometry, with properties calculated at the SCAN level.

Output
ΔE_f = -0.07 eV/atom
DOS(E_F) = 3.38 states/eV per cell
Calculated total energy = -57.78 eV per atom

The structure in POSCAR format:
```
LaFePb3
1.0
5.129 0.000 0.000
0.000 5.129 0.000
0.000 0.000 5.129
La Fe Pb
1 1 3
Direct
0.000 0.000 0.000
0.500 0.500 0.500
0.000 0.500 0.500
0.500 0.000 0.500
0.500 0.500 0.000
```



Entry 6:
Below is RePIr2 at its PBEsol-relaxed geometry, with properties calculated at the SCAN level.

Output
ΔE_f = 0.33 eV/atom
DOS(E_F) = 3.01 states/eV per cell
Calculated total energy = -55.59 eV per atom

The structure in POSCAR format:
```
RePIr2
1.0
2.785 0.000 0.000
0.000 4.465 0.000
0.000 0.000 4.475
Re P Ir
1 1 2
Direct
0.000 0.000 0.000
0.500 0.500 0.000
0.000 0.500 0.500
0.500 0.000 0.500
```



Entry 7:
Below is Ru4Pt5 at its PBEsol-relaxed geometry, with properties calculated at the SCAN level.

Output
ΔE_f = -0.04 eV/atom
DOS(E_F) = 7.69 states/eV per cell
Calculated total energy = -54.52 eV per atom

The structure in POSCAR format:
```
Ru4Pt5
1.0
-4.093 4.093 1.909
4.093 -4.093 1.909
4.093 4.093 -1.909
Ru Pt
4 5
Direct
0.000 0.346 0.346
0.000 0.654 0.654
0.346 0.000 0.346
0.654 0.000 0.654
0.000 0.000 0.000
0.330 0.330 0.661
0.330 0.670 0.000
0.670 0.330 0.000
0.670 0.670 0.339
```



Entry 8:
Below is CrAgPb at its PBEsol-relaxed geometry, with properties calculated at the SCAN level.

Output
ΔE_f = 0.37 eV/atom
DOS(E_F) = 1.74 states/eV per cell
Calculated total energy = -41.47 eV per atom

The structure in POSCAR format:
```
CrAgPb
1.0
0.000 3.174 3.174
3.174 0.000 3.174
3.174 3.174 0.000
Cr Ag Pb
1 1 1
Direct
0.000 0.000 0.000
0.250 0.250 0.250
0.750 0.750 0.750
```